# LiCoCO4 PBE with a Hubbard U relaxed
# Calculated density (Mg/m³): 2.82
# E_tot (eV/atom): -6.502
data_LiCoCO4
_cell_length_a 8.128
_cell_length_b 8.128
_cell_length_c 5.781
_cell_angle_alpha 90.00
_cell_angle_beta 90.00
_cell_angle_gamma 119.11
_symmetry_space_group_name_H-M 'P 1'
_symmetry_Int_Tables_number 1
loop_
_symmetry_equiv_pos_as_xyz
'x,y,z'
loop_
_atom_site_label
_atom_site_type_symbol
_atom_site_fract_x
_atom_site_fract_y
_atom_site_fract_z
Li1 Li 0.982 0.819 0.526
Li2 Li 0.819 0.982 0.026
Li3 Li 0.181 0.018 0.026
Li4 Li 0.018 0.181 0.526
Co1 Co 0.747 0.323 0.252
Co2 Co 0.677 0.253 0.752
Co3 Co 0.323 0.747 0.752
Co4 Co 0.253 0.677 0.252
C1 C 0.839 0.636 0.957
C2 C 0.364 0.161 0.457
C3 C 0.636 0.839 0.457
C4 C 0.161 0.364 0.957
O1 O 0.919 0.810 0.899
O2 O 0.868 0.587 0.163
O3 O 0.728 0.509 0.810
O4 O 0.843 0.289 0.527
O5 O 0.711 0.157 0.027
O6 O 0.810 0.919 0.399
O7 O 0.491 0.272 0.310
O8 O 0.413 0.132 0.663
O9 O 0.587 0.868 0.663
O10 O 0.509 0.728 0.310
O11 O 0.190 0.081 0.399
O12 O 0.289 0.843 0.027
O13 O 0.157 0.711 0.527
O14 O 0.272 0.491 0.810
O15 O 0.132 0.413 0.163
O16 O 0.081 0.190 0.899